one.
A plane-wave DFT calculation with PBEsol was carried out for an optimized crystal structure of KLiAu2.

The structure in CIF format:
```
data_KLiAu2
_chemical_formula_sum 'K2 Li2 Au4'
_cell_length_a 3.849
_cell_length_b 4.965
_cell_length_c 9.039
_cell_angle_alpha 90.00
_cell_angle_beta 90.00
_cell_angle_gamma 90.00
_symmetry_space_group_name_H-M 'I m m 2'
_symmetry_Int_Tables_number 44
loop_
_symmetry_equiv_pos_as_xyz
'x,y,z'
'-x,-y,z'
'-x,y,z'
'x,-y,z'
'x+1/2,y+1/2,z+1/2'
'-x+1/2,-y+1/2,z+1/2'
'-x+1/2,y+1/2,z+1/2'
'x+1/2,-y+1/2,z+1/2'
loop_
_atom_site_label
_atom_site_type_symbol
_atom_site_fract_x
_atom_site_fract_y
_atom_site_fract_z
K1 K 0.000 0.000 0.000
Li1 Li 0.000 0.500 0.783
Au1 Au 0.000 0.000 0.485
Au2 Au 0.000 0.500 0.221
```

two.
A plane-wave DFT calculation with PBEsol was carried out for an optimized crystal structure of KLiAu2.

The structure in CIF format:
```
data_KLiAu2
_chemical_formula_sum 'K3 Li3 Au6'
_cell_length_a 4.5597
_cell_length_b 4.5597
_cell_length_c 17.2406
_cell_angle_alpha 90.00
_cell_angle_beta 90.00
_cell_angle_gamma 120.00
_symmetry_space_group_name_H-M 'R -3 m'
_symmetry_Int_Tables_number 166
_symmetry_space_group_name_Hall '-R 3 2"'
loop_
_atom_site_label
_atom_site_type_symbol
_atom_site_fract_x
_atom_site_fract_y
_atom_site_fract_z
K1 K 0.0000 0.0000 0.0000
Li1 Li 0.0000 0.0000 0.5000
Au1 Au 0.0000 0.0000 0.1911
```

How do the structures above rank in stability at the extremes? two comes first and one comes last.